(1)
4
Lattice="5.453 0.000 0.000 2.726 4.722 0.000 2.726 1.574 4.452" Properties=species:S:1:pos:R:3 comment="AcMgTl2 meta-GGA SCAN single point on PBEsol structure" formation_enthalpy_0k_ev_per_atom=-0.44 magnetic_moment_mub_per_atom=0.000 pbc="T T T"
Tl 2.726 1.574 1.113
Tl 8.179 4.722 3.339
Ac 5.453 3.148 2.226
Mg 0.000 0.000 0.000

---

(2)
5
Lattice="5.987 0.000 0.000 0.000 7.257 0.000 0.000 0.000 7.257" Properties=species:S:1:pos:R:3 comment="Cs2RbMgTi meta-GGA SCAN single point on PBEsol structure" formation_enthalpy_0k_ev_per_atom=1.08 magnetic_moment_mub_per_atom=0.792 pbc="T T T"
Cs 0.000 3.629 0.000
Cs 0.000 0.000 3.629
Ti 2.994 0.000 0.000
Rb 0.000 0.000 0.000
Mg 2.994 3.629 3.629

---

(3)
4
Lattice="-2.891 -0.716 -3.640 1.767 -0.889 -4.267 -0.410 -4.298 -1.867" Properties=species:S:1:pos:R:3 comment="YAs2Pt meta-GGA SCAN single point on PBEsol structure" formation_enthalpy_0k_ev_per_atom=-0.51 magnetic_moment_mub_per_atom=0.000 pbc="T T T"
As -1.151 -4.427 -7.331
Pt 0.000 0.000 0.000
Y -0.767 -2.951 -4.887
As -0.384 -1.476 -2.444

---

(4)
5
Lattice="-5.025 -0.170 -0.319 0.283 -4.619 -1.990 -0.225 -2.003 4.617" Properties=species:S:1:pos:R:3 comment="RbCdS3 meta-GGA SCAN single point on PBEsol structure" total_energy_ev_per_atom=-16.122 magnetic_moment_mub_per_atom=0.487 pbc="T T T"
S 0.141 -2.310 -0.995
S -0.113 -1.001 2.309
Rb -2.484 -3.396 1.154
S -2.512 -0.085 -0.159
Cd 0.000 0.000 0.000

---

(5)
64
Lattice="8.503 0.000 0.000 0.000 8.506 0.000 0.000 0.000 8.506" Properties=species:S:1:pos:R:3 comment="LiMg30BiO32 meta-GGA SCAN single point on PBEsol structure" total_energy_ev_per_atom=-9.589 magnetic_moment_mub_per_atom=0.000 pbc="T T T"
Mg 2.106 0.000 2.090
Mg 6.397 0.000 2.090
Mg 0.000 0.000 4.253
Mg 4.252 2.111 2.111
O 0.000 2.162 0.000
O 4.252 4.253 2.113
O 0.000 6.518 4.253
Mg 0.000 2.033 2.033
Mg 6.323 2.058 4.253
O 2.154 4.253 0.000
O 2.154 0.000 4.253
Mg 0.000 4.253 0.000
O 6.232 4.253 4.253
O 6.384 2.137 2.137
Mg 2.180 6.448 4.253
O 2.120 2.137 2.137
Mg 4.252 6.395 2.111
O 4.252 6.372 0.000
O 0.000 0.000 6.345
O 0.000 1.988 4.253
O 2.185 0.000 0.000
O 4.252 2.113 4.253
O 2.120 2.137 6.369
Mg 0.000 6.473 2.033
Mg 4.252 4.253 0.000
Mg 2.180 4.253 2.058
Mg 0.000 6.473 6.473
O 4.252 6.393 4.253
Mg 4.252 2.111 6.395
Mg 2.106 2.090 0.000
Mg 6.397 0.000 6.416
Bi 0.000 4.253 4.253
Mg 4.252 0.000 0.000
Mg 4.252 0.000 4.253
O 0.000 4.253 1.988
O 4.252 2.134 0.000
O 6.349 4.253 0.000
O 6.384 2.137 6.369
O 2.120 6.369 6.369
O 6.318 0.000 0.000
Li 0.000 0.000 0.000
Mg 6.323 4.253 6.448
O 2.271 4.253 4.253
O 0.000 4.253 6.518
Mg 6.397 2.090 0.000
Mg 6.397 6.416 0.000
O 0.000 0.000 2.162
Mg 6.323 4.253 2.058
Mg 2.106 0.000 6.416
Mg 6.323 6.448 4.253
O 4.252 0.000 2.134
Mg 2.180 2.058 4.253
Mg 2.106 6.416 0.000
Mg 2.180 4.253 6.448
Mg 4.252 4.253 4.253
Mg 4.252 6.395 6.395
O 6.349 0.000 4.253
Mg 0.000 2.033 6.473
O 2.120 6.369 2.137
O 4.252 0.000 6.372
O 4.252 4.253 6.393
O 6.384 6.369 6.369
O 6.384 6.369 2.137
O 0.000 6.345 0.000

---

(6)
4
Lattice="2.765 0.000 0.000 0.000 2.765 0.000 0.000 0.000 8.088" Properties=species:S:1:pos:R:3 comment="SiRu2Cl meta-GGA SCAN single point on PBEsol structure" e_above_lowest_polymorph_ev_per_fu=0.00 magnetic_moment_mub_per_atom=0.000 pbc="T T T"
Ru 0.000 0.000 0.136
Si 0.000 0.000 3.603
Ru 1.383 1.383 1.838
Cl 1.383 1.383 6.555

---

(7)
39
Lattice="5.104 0.000 -0.009 2.552 6.591 -0.004 2.233 0.000 18.649" Properties=species:S:1:pos:R:3 comment="Pr3Al28Cu8 meta-GGA SCAN single point on PBEsol structure" formation_enthalpy_0k_ev_per_atom=-0.27 magnetic_moment_mub_per_atom=0.000 pbc="T T T"
Cu 2.552 3.278 3.142
Al 6.046 1.491 14.147
Cu 2.392 3.296 9.322
Cu 4.944 3.296 9.318
Al 3.651 1.494 7.967
Al 3.843 5.100 4.489
Al 1.290 1.491 4.493
Al 6.203 5.097 7.962
Pr 3.834 0.000 3.084
Al 6.216 2.372 11.448
Al 3.512 2.388 17.670
Al 6.238 5.097 10.669
Al 6.064 1.541 16.845
Cu 2.484 0.000 6.217
Al 3.824 2.388 0.970
Pr 1.116 0.000 9.324
Al 5.026 0.000 6.220
Al 2.311 0.000 12.420
Pr 3.503 0.000 15.556
Cu 4.853 0.000 12.423
Al 8.616 5.051 16.841
Al 1.273 1.541 1.795
Al 6.068 4.227 13.377
Al 3.686 1.494 10.673
Al 2.552 0.000 -0.004
Al 8.598 5.100 14.143
Al 0.000 0.000 0.000
Al 6.374 4.227 5.254
Cu 5.104 3.314 3.137
Al 6.065 4.204 17.666
Al 6.225 2.372 7.184
Cu 7.337 3.314 15.494
Al 6.377 4.204 0.965
Al 3.664 4.219 11.452
Al 3.673 4.219 7.188
Al 3.515 2.364 13.381
Al 3.825 5.051 1.790
Cu 4.785 3.278 15.498
Al 3.821 2.364 5.259

---

(8)
40
Lattice="-4.243 1.552 -3.648 -5.127 0.101 6.007 2.445 11.150 1.900" Properties=species:S:1:pos:R:3 comment="Ba2TaMnO6 meta-GGA SCAN single point on PBEsol structure" total_energy_ev_per_atom=-23.146 magnetic_moment_mub_per_atom=0.400 pbc="T T T"
O -2.163 7.452 3.178
O -6.242 11.042 4.828
O 0.428 8.434 2.820
Ta -2.412 10.971 0.354
Mn -6.047 5.374 2.537
O -2.196 8.476 5.772
O -0.683 1.761 -0.568
Ba -0.071 4.546 -0.132
O -5.807 0.888 2.817
Ba -7.928 2.628 3.569
O -7.282 5.400 4.035
O 1.083 11.191 3.333
Mn -0.877 7.429 1.723
O -4.819 6.467 3.567
O -4.181 7.014 -1.090
Ba -1.555 10.226 3.688
O -4.762 5.351 1.082
Mn -1.964 1.804 0.890
O -1.117 11.915 1.443
Ba -5.369 2.577 0.571
O -3.722 10.992 1.875
O -3.203 1.811 2.384
O -2.667 3.545 0.260
Mn -4.961 10.999 3.370
O -2.743 5.789 5.350
Ta -3.462 7.470 4.708
Ta -4.513 1.832 3.906
O -4.729 4.327 -1.513
Ba -2.630 4.596 2.866
O 0.357 7.403 0.225
O -2.105 6.335 0.693
O -7.353 4.369 1.439
Ba 1.003 10.175 0.691
Ba -4.295 8.207 1.394
Ba -6.853 8.257 4.392
O -1.742 9.256 0.954
Ta -3.462 5.333 -0.448
O -5.183 3.547 3.305
O -8.008 1.612 0.927
O -4.257 9.258 4.000